SrGe2IrRh | PBE-GGA | optimized geometry

Geometry as POSCAR:
```
SrGe2IrRh
1.0
4.234 0.000 0.000
0.000 4.234 0.000
-2.117 -2.117 5.423
Ir Rh Ge Sr
1 1 2 1
Direct
0.250 0.750 0.500
0.750 0.250 0.500
0.631 0.631 0.262
0.369 0.369 0.738
0.000 0.000 0.000
```

Values from the calculation:
**Space group**: I-4m2 (119)
**ΔH_f (0 K)**: -0.723 eV/atom

La2SmH | PBE-GGA | optimized geometry

Geometry as POSCAR:
```
La2SmH
1.0
3.765 0.000 0.000
1.883 3.261 0.000
1.883 1.087 8.958
H La Sm
1 2 1
Direct
0.000 0.000 0.000
0.277 0.277 0.168
0.723 0.723 0.832
0.500 0.500 0.500
```

Values from the calculation:
**Space group**: R-3m (166)
**E above lowest polymorph**: 0.02 eV/f.u.

InAgSnB2 | PBE-GGA | optimized geometry

Geometry as POSCAR:
```
InAgSnB2
1.0
4.445 0.000 0.000
0.000 5.475 0.000
0.000 0.000 4.445
B Ag Sn In
2 1 1 1
Direct
0.000 0.000 0.500
0.500 0.000 0.000
0.000 0.500 0.000
0.500 0.500 0.500
0.000 0.000 0.000
```

Values from the calculation:
**Space group**: P4/mmm (123)
**ΔH_f (0 K)**: 1.558 eV/atom

Tb3SmTm5 | PBE-GGA | optimized geometry

Geometry as POSCAR:
```
Tb3SmTm5
1.0
-6.635 -6.639 -2.389
3.576 -0.579 11.310
-3.989 4.973 -2.742
Tb Tm Sm
6 10 2
Direct
0.000 0.000 0.500
0.670 0.340 0.840
0.330 0.660 0.660
0.330 0.660 0.160
0.000 0.000 0.000
0.670 0.340 0.340
0.000 0.649 0.399
0.999 0.315 0.065
0.685 0.685 0.435
0.315 0.315 0.565
0.351 0.351 0.101
0.000 0.351 0.601
0.688 0.000 0.250
0.001 0.685 0.935
0.649 0.649 0.899
0.312 0.000 0.750
0.645 0.000 0.750
0.355 0.000 0.250
```

Values from the calculation:
**Space group**: Cmcm (63)
**ΔH_f (0 K)**: 0.073 eV/atom
**E above lowest polymorph**: 0.00 eV/f.u.

| no. | uncorrected energy (eV/atom) |
| --- | --- |
| 1 | -6.15 |
| 2 | -4.64 |
| 3 | -3.03 |
| 4 | -4.48 |